1.
Entry from Alexandria: a PBEsol-optimized structure of Li4YRe (SCAN).

```
6
Lattice="5.0907 0.0000 0.0000 2.5453 4.4086 0.0000 2.5453 1.4695 4.1565" Properties=species:S:1:pos:R:3 pbc="T T T"
Li 5.0907 2.9391 3.5794
Li 3.8650 2.2314 1.5779
Y 0.0000 0.0000 0.0000
Re 7.6360 4.4086 3.1174
Li 5.0907 4.3544 1.5779
Li 6.3164 2.2314 1.5779
```

Results
DFT formation energy ... 0.43 eV/atom
Symmetry ... F-43m, No. 216



2.
Entry from Alexandria: a PBEsol-optimized structure of Ag4P2S7 (SCAN).

```
26
Lattice="-3.4396 3.8404 -3.5054 -2.9010 -4.6612 2.9538 0.9725 8.9880 12.7741" Properties=species:S:1:pos:R:3 pbc="T T T"
S -4.7833 4.0063 6.9674
S -0.5849 4.1609 5.2550
S -4.7328 4.9625 9.9069
S -1.9978 3.2656 8.7189
S -2.6839 4.2195 -0.2389
P -1.9915 3.4875 3.9379
S -2.7472 -2.3040 2.4029
S -2.6041 6.5181 7.7159
S -2.7585 7.2691 11.5046
S -2.6843 3.9478 12.4613
S -2.7640 1.6492 4.5065
S -2.6097 0.8981 0.7179
S -0.6354 3.2047 2.3155
Ag -5.1134 -0.2550 0.2777
S -3.3703 4.9017 3.5035
Ag -1.6671 -0.1264 2.9424
Ag -3.7011 8.2936 9.2801
P -3.3767 4.6797 8.2845
P -3.7882 5.5432 11.7294
Ag -2.6864 6.6331 5.2306
Ag -0.1136 6.6486 7.8192
Ag -2.6818 1.5341 6.9919
Ag -0.2547 8.4222 11.9447
S -2.6209 10.4713 9.8195
Ag -5.2545 1.5186 4.4032
P -1.5800 2.6240 0.4930
```

Results
Formation energy from raw total energies ... -0.245 eV per atom
Symmetry ... C2/c, No. 15



3.
Entry from Alexandria: a PBEsol-optimized structure of Be2CrTc2 (SCAN).

```
10
Lattice="3.0359 0.0000 0.0000 0.0000 5.9265 0.0000 0.0000 0.0000 5.9265" Properties=species:S:1:pos:R:3 pbc="T T T"
Be 0.0000 0.7170 2.2463
Tc 1.5180 4.8785 1.9152
Tc 1.5180 1.0480 4.0113
Tc 1.5180 4.0113 4.8785
Be 0.0000 3.6802 0.7170
Tc 1.5180 1.9152 1.0480
Cr 0.0000 0.0000 0.0000
Be 0.0000 2.2463 5.2096
Cr 0.0000 2.9633 2.9633
Be 0.0000 5.2096 3.6802
```

Results
DFT formation energy ... -0.26 eV/atom
Symmetry ... P4/mbm, No. 127



4.
Entry from Alexandria: a PBEsol-optimized structure of LiPb3Br (SCAN).

```
5
Lattice="-4.4587 -1.6887 3.1051 2.3438 -5.1540 0.5625 2.6457 1.7198 4.7345" Properties=species:S:1:pos:R:3 pbc="T T T"
Pb 1.1719 -2.5770 0.2812
Pb 1.3229 0.8599 2.3673
Pb -2.2294 -0.8444 1.5525
Br 0.0000 0.0000 0.0000
Li 0.2654 -2.5615 4.2010
```

Results
Formation energy from raw total energies ... 0.342 eV per atom
Symmetry ... Pm-3m, No. 221



5.
Entry from Alexandria: a PBEsol-optimized structure of Ca2HfZrFe (SCAN).

```
5
Lattice="5.0170 0.0000 0.0000 0.0000 5.4405 0.0000 0.0000 0.0000 5.4405" Properties=species:S:1:pos:R:3 pbc="T T T"
Ca 0.0000 0.0000 2.7203
Zr 0.0000 0.0000 0.0000
Fe 2.5085 2.7203 2.7203
Hf 2.5085 0.0000 0.0000
Ca 0.0000 2.7203 0.0000
```

Results
DFT formation energy ... 1.42 eV/atom
Symmetry ... P4/mmm, No. 123



6.
Entry from Alexandria: a PBEsol-optimized structure of Nd3Co29Si4B10 (SCAN).

```
92
Lattice="-1.6836 -1.9637 7.3030 10.3784 -3.4156 1.4741 2.8460 10.1033 3.3728" Properties=species:S:1:pos:R:3 pbc="T T T"
Co 3.8648 1.4667 4.0583
Nd 8.4953 -0.0359 1.9488
B 0.9091 6.1892 7.9399
Si 5.7442 3.5678 9.0533
Co 0.2527 4.7970 9.3359
Co 2.9138 6.4808 7.8605
Co 9.1748 -0.4697 7.7330
Co 8.6592 1.4755 6.2929
Si 4.7068 -0.1150 7.8239
Co 2.5102 5.3211 4.0806
Si 4.4238 3.6200 3.4427
Si 0.2218 1.4951 1.9026
Co 6.0782 7.0709 5.7775
Co 1.2667 6.4011 5.9132
B 4.7157 6.1407 6.9951
Co 1.0638 -0.0866 5.6681
Nd 3.3061 1.6719 1.2117
Co 3.2195 1.0035 6.4582
Co 4.2944 -2.7516 4.6187
B 3.6889 -3.4578 7.2452
Co 1.7091 0.3766 3.2682
Co 9.8658 0.3769 4.4468
B -0.5483 1.0154 6.2127
B 7.4055 -3.0968 3.0276
Co -0.0185 1.8386 4.3901
B 8.5423 -0.5484 5.7841
Co 7.5219 6.6863 3.7634
Co 10.5163 2.6863 5.2178
Co 1.0723 2.1969 6.5822
B 2.0909 -1.3477 2.2727
Nd 9.9183 5.0157 3.6352
Co 8.4663 0.2867 10.0166
Co 5.4413 -2.4124 6.7538
Co 8.4554 -1.8437 4.2265
Si 7.1002 -4.4105 7.2206
Co 1.8596 3.0117 3.3096
Si 8.2068 2.3750 3.9800
Co 6.1323 -1.5658 3.4676
Co 6.2536 1.2229 9.0794
B 2.9232 -0.2228 4.8708
Co 5.6077 -0.1092 1.4948
Co 9.0535 -3.2584 2.1211
Co 4.1416 4.2771 7.5510
Co 2.9675 3.3486 5.4845
Co 6.8516 -0.1919 6.9741
Co -0.6791 1.4893 8.2317
Co 8.0795 -2.3955 6.6646
Co 5.2644 6.1622 9.0187
Co 9.9295 4.1719 8.8570
Co 1.0366 7.2487 9.4971
B 6.8655 5.2942 5.1593
B 2.8378 2.7278 7.4538
Co 1.4857 2.5841 9.0251
B 2.0054 1.6029 4.8557
B 3.0589 5.3427 6.1041
Nd 5.7704 2.3620 6.0750
Co 6.1136 2.0180 2.8622
Co 1.9611 -1.9685 4.2419
Co 3.8564 -0.8168 3.1443
Co 6.5079 5.0822 7.1860
B 4.9373 -2.0017 1.8300
Co 7.7738 3.0817 8.0669
Co 8.3542 6.3218 6.1007
B 5.4769 0.3647 3.5137
Co 7.6367 5.3815 9.3556
Co 3.9765 1.9722 8.7560
Co 6.8407 -2.3222 1.1840
Co 8.2236 3.8959 5.7164
Co 9.7989 1.7459 8.4727
B -0.0086 3.3818 7.8965
B 8.5573 4.8764 7.5408
B 6.7648 -1.4871 5.4164
Co 6.6479 -3.5110 4.9076
Co 4.8608 5.0026 5.2387
Co 3.0690 -1.6316 6.4168
Co 4.9471 -0.4585 5.3363
Si 0.5048 -2.2399 6.2838
Co 6.7380 4.2347 3.6022
Co 3.4429 -1.2040 0.7014
B 9.5957 3.1913 7.0326
Co 1.6964 4.4125 7.3218
Nd -0.8418 -0.9819 3.6515
B 7.9015 1.0612 8.1730
Co 0.9521 -0.5922 0.9704
Co 0.6343 4.1317 5.1077
Co 10.3793 4.9860 6.5064
Co -1.1849 -0.6379 6.8643
B 1.2397 4.8379 2.4813
Co 3.6330 7.2063 5.5482
Co 7.2276 0.3600 4.5360
Nd 4.7291 6.7235 2.8981
Si 2.0304 7.9156 4.0460
```

Results
Formation energy from raw total energies ... -0.330 eV per atom
Symmetry ... P4/nmm, No. 129



7.
Entry from Alexandria: a PBEsol-optimized structure of SiRhI2O (SCAN).

```
5
Lattice="3.3707 0.0000 0.0000 0.0000 5.2916 0.0000 0.0000 0.0000 5.2916" Properties=species:S:1:pos:R:3 pbc="T T T"
I 0.0000 0.0000 2.6458
I 0.0000 2.6458 0.0000
Si 0.0000 0.0000 0.0000
Rh 1.6854 2.6458 2.6458
O 1.6854 0.0000 0.0000
```

Results
Formation energy from raw total energies ... 0.030 eV per atom
Symmetry ... P4/mmm, No. 123



8.
Entry from Alexandria: a PBEsol-optimized structure of KCdCu (SCAN).

```
3
Lattice="4.5058 0.0000 0.0000 -2.2529 3.9022 0.0000 0.0000 0.0000 4.7935" Properties=species:S:1:pos:R:3 pbc="T T T"
Cd 0.0000 0.0000 0.0000
Cu 0.0000 2.6014 0.0000
K 2.2529 1.3007 2.3968
```

Results
DFT formation energy ... 0.20 eV/atom
Symmetry ... P-6m2, No. 187
Relative energy among the computed polymorphs ... 20.7 meV per atom



How do the records compare in E? In the order shown, they have -0.64874; -0.61299; -0.72417; -1.81897; -0.90926; -0.60886; -0.90661; -0.65356 hartree per atom.